The following is a PBE-GGA calculation of a relaxed structure of Mn3GeH, from the Alexandria database.

```
Mn3GeH
1.0
3.404 0.000 0.000
0.000 3.404 0.000
0.000 0.000 6.344
Mn Ge H
3 1 1
direct
0.000 0.000 0.000
0.000 0.500 0.686
0.500 0.000 0.686
0.000 0.000 0.396
0.500 0.500 0.612
```

Values from the calculation:
Space group ... P4mm (99)
Distance to the lowest polymorph of the same formula ... 618 meV/atom
Magnetic moment ... 1.38 μB/atom
Energy ... -33.1 eV/cell

---

The following is a PBE-GGA calculation of a relaxed structure of Mn2GeH2, from the Alexandria database.

```
Mn2GeH2
1.0
-1.458 1.458 4.976
1.458 -1.458 4.976
1.458 1.458 -4.976
Mn Ge H
2 1 2
direct
0.145 0.145 0.000
0.855 0.855 0.000
0.500 0.500 0.000
0.250 0.750 0.500
0.750 0.250 0.500
```

Values from the calculation:
Space group ... I4/mmm (139)
Distance to the lowest polymorph of the same formula ... 1 meV/atom
Magnetic moment ... 0.64 μB/atom
Energy ... -29.5 eV/cell

---

The following is a PBE-GGA calculation of a relaxed structure of Mn3GeH, from the Alexandria database.

```
Mn3GeH
1.0
3.302 1.906 2.833
-3.302 1.906 2.833
0.000 -3.813 2.833
Mn Ge H
6 2 2
direct
0.011 0.750 0.489
0.250 0.511 0.989
0.489 0.011 0.750
0.511 0.989 0.250
0.750 0.489 0.011
0.989 0.250 0.511
0.000 0.000 0.000
0.500 0.500 0.500
0.250 0.250 0.250
0.750 0.750 0.750
```

Values from the calculation:
Space group ... R-3c (167)
Distance to the lowest polymorph of the same formula ... 311 meV/atom
Magnetic moment ... 1.20 μB/atom
Energy ... -69.2 eV/cell

---

The following is a PBE-GGA calculation of a relaxed structure of Mn3GeH, from the Alexandria database.

```
Mn3GeH
1.0
2.444 -4.129 0.000
2.444 4.129 0.000
0.000 0.000 5.157
Mn Ge H
6 2 2
direct
0.000 0.000 0.000
0.000 0.000 0.500
0.060 0.526 0.750
0.474 0.940 0.750
0.526 0.060 0.250
0.940 0.474 0.250
0.459 0.541 0.250
0.541 0.459 0.750
0.125 0.875 0.250
0.875 0.125 0.750
```

Values from the calculation:
Space group ... Cmcm (63)
Distance to the lowest polymorph of the same formula ... 433 meV/atom
Magnetic moment ... 0.00 μB/atom
Energy ... -68.0 eV/cell

---

The following is a PBE-GGA calculation of a relaxed structure of Mn3GeH, from the Alexandria database.

```
Mn3GeH
1.0
4.556 -2.583 0.000
4.556 2.583 0.000
-1.266 0.000 4.339
Mn Ge H
6 2 2
direct
0.000 0.000 0.000
0.259 0.757 0.497
0.260 0.260 0.521
0.489 0.996 0.043
0.757 0.259 0.497
0.996 0.489 0.043
0.486 0.486 0.986
0.759 0.759 0.565
0.129 0.129 0.760
0.888 0.888 0.231
```

Values from the calculation:
Space group ... Cm (8)
Distance to the lowest polymorph of the same formula ... 121 meV/atom
Magnetic moment ... 1.07 μB/atom
Energy ... -71.1 eV/cell

---

The following is a PBE-GGA calculation of a relaxed structure of Mn2Ge2H, from the Alexandria database.

```
Mn2Ge2H
1.0
5.470 0.000 0.000
0.000 5.470 0.000
0.000 0.000 3.791
Mn Ge H
4 4 2
direct
0.164 0.336 0.000
0.336 0.836 0.000
0.664 0.164 0.000
0.836 0.664 0.000
0.161 0.661 0.500
0.339 0.161 0.500
0.661 0.839 0.500
0.839 0.339 0.500
0.000 0.000 0.000
0.500 0.500 0.000
```

Values from the calculation:
Space group ... P4/mbm (127)
Magnetic moment ... 0.06 μB/atom
Energy ... -60.2 eV/cell

---

The following is a PBE-GGA calculation of a relaxed structure of Mn3GeH, from the Alexandria database.

```
Mn3GeH
1.0
4.314 -2.584 0.000
4.314 2.584 0.000
-0.298 0.000 4.662
Mn Ge H
6 2 2
direct
0.000 0.000 0.000
0.001 0.521 0.186
0.268 0.268 0.669
0.270 0.755 0.508
0.521 0.001 0.186
0.755 0.270 0.508
0.503 0.503 0.026
0.769 0.769 0.659
0.127 0.127 0.362
0.190 0.190 0.977
```

Values from the calculation:
Space group ... Cm (8)
Distance to the lowest polymorph of the same formula ... 114 meV/atom
Magnetic moment ... 0.35 μB/atom
Energy ... -71.2 eV/cell

---

The following is a PBE-GGA calculation of a relaxed structure of Mn3GeH, from the Alexandria database.

```
Mn3GeH
1.0
3.728 0.000 0.000
0.000 3.728 0.000
0.000 0.000 3.728
Mn Ge H
3 1 1
direct
0.000 0.000 0.500
0.000 0.500 0.000
0.500 0.000 0.000
0.500 0.500 0.500
0.000 0.000 0.000
```

Values from the calculation:
Space group ... Pm-3m (221)
Distance to the lowest polymorph of the same formula ... 0 meV/atom
Magnetic moment ... 1.20 μB/atom
Energy ... -36.2 eV/cell